A relaxed SiHI crystal, computed with PBE-GGA.

a b c (Å): 4.0472 6.4776 6.8211
angles (deg): 87.93 87.76 85.89
Space group P-1 (No. 2)
Inequivalent atoms, fractional coordinates:
Si 0.2426 0.0128 0.0909 x2
H 0.2126 0.2108 0.1987 x2
I 0.2594 0.7210 0.3368 x2

Values from the calculation:
polymorph energy (0 for the lowest one): 0 meV per atom
E: -0.2622 Ry per atom
magnetic moment: 0.00 Bohr magnetons per cell